VASP calculation (PBEsol) on a relaxed structure of BaIrPb2.

The structure belongs to space group P4mm (No. 99); the cell edges are 3.6526, 3.6526 and 8.1144 Å and the angles 90.00°, 90.00° and 90.00°. The asymmetric unit holds Ba at (0.0000, 0.0000, 0.0000), Ir at (0.5000, 0.5000, 0.2760), Pb at (0.0000, 0.0000, 0.4120) and Pb at (0.5000, 0.5000, 0.6649).

The volume is 27.06 A^3/atom. The formation energy is 0.092 eV/atom.

=====

VASP calculation (PBEsol) on a relaxed structure of BaIrPb2.

The structure belongs to space group C2/m (No. 12); the cell edges are 6.3728, 11.5414 and 3.4210 Å and the angles 90.00°, 120.99° and 90.00°. The asymmetric unit holds Ba at (0.0000, 0.0000, 0.0000), Ir at (0.0000, 0.5000, 0.0000) and Pb at (0.2500, 0.2500, 0.5000).

The volume is 26.96 A^3/atom. The formation energy is 0.390 eV/atom.

=====

VASP calculation (PBEsol) on a relaxed structure of BaIrPb2.

The structure belongs to space group P4/mmm (No. 123); the cell edges are 4.5775, 4.5775 and 5.0041 Å and the angles 90.00°, 90.00° and 90.00°. The asymmetric unit holds Ba at (0.0000, 0.0000, 0.0000), Ir at (0.5000, 0.5000, 0.0000) and Pb at (0.0000, 0.5000, 0.5000).

The volume is 26.21 A^3/atom. The formation energy is 0.223 eV/atom.

=====

VASP calculation (PBEsol) on a relaxed structure of Ba2SbIrPb.

The structure belongs to space group P4/mmm (No. 123); the cell edges are 6.3871, 6.3871 and 4.9374 Å and the angles 90.00°, 90.00° and 90.00°. The asymmetric unit holds Ba at (0.0000, 0.5000, 0.0000), Sb at (0.0000, 0.0000, 0.5000), Ir at (0.5000, 0.5000, 0.5000) and Pb at (0.5000, 0.5000, 0.0000).

The calculation puts the uncorrected formation energy at 7.9 kcal/mol of atoms. The volume is 40.28 A^3/atom.

=====

VASP calculation (PBEsol) on a relaxed structure of BaSc2IrPb.

The structure belongs to space group P4/mmm (No. 123); the cell edges are 5.0671, 5.0671 and 5.8299 Å and the angles 90.00°, 90.00° and 90.00°. The asymmetric unit holds Ba at (0.0000, 0.0000, 0.0000), Sc at (0.0000, 0.5000, 0.5000), Ir at (0.0000, 0.0000, 0.5000) and Pb at (0.5000, 0.5000, 0.0000).

The volume is 29.94 A^3/atom. The formation energy is -0.143 eV/atom.

=====

VASP calculation (PBEsol) on a relaxed structure of Ba2IrPdPt.

The structure belongs to space group P4/mmm (No. 123); the cell edges are 5.9579, 5.9579 and 4.6900 Å and the angles 90.00°, 90.00° and 90.00°. The asymmetric unit holds Ba at (0.0000, 0.5000, 0.0000), Ir at (0.0000, 0.0000, 0.5000), Pd at (0.5000, 0.5000, 0.5000) and Pt at (0.0000, 0.0000, 0.0000).

The volume is 33.30 A^3/atom. The formation energy is 0.345 eV/atom.

=====

VASP calculation (PBEsol) on a relaxed structure of BaSn2IrPd.

The structure belongs to space group P4/mmm (No. 123); the cell edges are 4.9895, 4.9895 and 5.2445 Å and the angles 90.00°, 90.00° and 90.00°. The asymmetric unit holds Ba at (0.0000, 0.0000, 0.0000), Sn at (0.0000, 0.5000, 0.5000), Ir at (0.5000, 0.5000, 0.0000) and Pd at (0.5000, 0.5000, 0.5000).

The volume is 26.11 A^3/atom. The formation energy is 0.209 eV/atom.

=====

VASP calculation (PBEsol) on a relaxed structure of BaIrPt.

The structure belongs to space group I4mm (No. 107); the cell edges are 3.5803, 3.5803 and 10.8874 Å and the angles 90.00°, 90.00° and 90.00°. The asymmetric unit holds Ba at (0.0000, 0.0000, 0.0000), Ir at (0.0000, 0.0000, 0.7261) and Pt at (0.0000, 0.0000, 0.2777).

The volume is 23.26 A^3/atom. The formation energy is 0.074 eV/atom.

=====

VASP calculation (PBEsol) on a relaxed structure of BaIr2Pt.

The structure belongs to space group I-4m2 (No. 119); the cell edges are 4.2700, 4.2700 and 8.1802 Å and the angles 90.00°, 90.00° and 90.00°. The asymmetric unit holds Ba at (0.0000, 0.0000, 0.0000), Ir at (0.0000, 0.0000, 0.5000), Ir at (0.0000, 0.5000, 0.2500) and Pt at (0.0000, 0.5000, 0.7500).

The volume is 18.64 A^3/atom. As for the energy above the most stable polymorph in this dataset: 314 meV/atom. The formation energy is 0.773 eV/atom.

=====

VASP calculation (PBEsol) on a relaxed structure of BaIrPt3.

The structure belongs to space group Pm-3m (No. 221); the cell edges are 4.9008, 4.9008 and 4.9008 Å and the angles 90.00°, 90.00° and 90.00°. The asymmetric unit holds Ba at (0.0000, 0.0000, 0.0000), Ir at (0.5000, 0.5000, 0.5000) and Pt at (0.0000, 0.5000, 0.5000).

The volume is 23.54 A^3/atom. The formation energy is 0.398 eV/atom.

=====

VASP calculation (PBEsol) on a relaxed structure of BaIr2Pt.

The structure belongs to space group P2/m (No. 10); the cell edges are 2.8892, 4.6366 and 6.0311 Å and the angles 90.00°, 101.36° and 90.00°. The asymmetric unit holds Ba at (0.0000, 0.0000, 0.0000), Ir at (0.3211, 0.5000, 0.6795) and Pt at (0.5000, 0.0000, 0.5000).

The volume is 19.80 A^3/atom. As for the energy above the most stable polymorph in this dataset: 0 meV/atom. The formation energy is 0.460 eV/atom.

=====

VASP calculation (PBEsol) on a relaxed structure of BaIr2Pt.

The structure belongs to space group Immm (No. 71); the cell edges are 2.8701, 5.0625 and 10.3743 Å and the angles 90.00°, 90.00° and 90.00°. The asymmetric unit holds Ba at (0.0000, 0.0000, 0.0000), Ir at (0.0000, 0.5000, 0.2234) and Pt at (0.0000, 0.0000, 0.5000).

The volume is 18.84 A^3/atom. As for the energy above the most stable polymorph in this dataset: 60 meV/atom. The formation energy is 0.519 eV/atom.